# 1
A crystal of AgHgTe2 relaxed with PBEsol, computed with meta-GGA SCAN.

calculated density: 9.302 Mg/m³
VASP energy: -43.400 eV per atom

abc: 3.7824 5.0796 10.4746
angles: 90.00 90.00 90.00
Space group Cmmm (No. 65)
Symmetry-distinct sites (fractional):
Ag  0.0000  0.0000  0.0000
Hg  0.0000  0.0000  0.5000
Te  0.0000  0.5000  0.2148

=====

# 2
A crystal of CrP2BrCl relaxed with PBEsol, computed with meta-GGA SCAN.

calculated density: 4.219 Mg/m³
VASP energy: -13.144 eV per atom

abc: 4.4459 4.4459 4.5659
angles: 90.00 90.00 90.00
Space group P4/mmm (No. 123)
Symmetry-distinct sites (fractional):
Cr  0.0000  0.0000  0.0000
P  0.0000  0.5000  0.0000
Br  0.5000  0.5000  0.5000
Cl  0.0000  0.0000  0.5000

=====

# 3
A crystal of AlHg2As relaxed with PBEsol, computed with meta-GGA SCAN.

calculated density: 10.041 Mg/m³
E_form: 0.28 eV/atom
VASP energy: -40.785 eV per atom

abc: 6.9298 6.9298 6.9298
angles: 90.00 90.00 90.00
Space group F-43m (No. 216)
Symmetry-distinct sites (fractional):
Al  0.0000  0.0000  0.0000
Hg  0.0000  0.0000  0.5000
Hg  0.2500  0.2500  0.2500
As  0.2500  0.2500  0.7500

=====

# 4
A crystal of AlSiTe2 relaxed with PBEsol, computed with meta-GGA SCAN.

calculated density: 5.906 Mg/m³
VASP energy: -22.633 eV per atom

abc: 3.5291 3.5291 7.0044
angles: 90.00 90.00 90.00
Space group P4/mmm (No. 123)
Symmetry-distinct sites (fractional):
Al  0.0000  0.0000  0.0000
Si  0.0000  0.0000  0.5000
Te  0.5000  0.5000  0.2506

=====

# 5
A crystal of Li3Cr3NiO8 relaxed with PBEsol, computed with meta-GGA SCAN.

calculated density: 4.470 Mg/m³
VASP energy: -10.795 eV per atom

abc: 5.7382 5.7382 14.2070
angles: 90.00 90.00 120.00
Space group R-3m (No. 166, hexagonal axes)
Symmetry-distinct sites (fractional):
Li  0.0000  0.5000  0.0000
Cr  0.0000  0.5000  0.5000
Ni  0.0000  0.0000  0.5000
O  0.0000  0.0000  0.2421
O  0.0047  0.5024  0.2382

=====

# 6
A crystal of Li7BiO6 relaxed with PBEsol, computed with meta-GGA SCAN.

calculated density: 4.350 Mg/m³
VASP energy: -11.296 eV per atom

abc: 5.4528 5.5107 5.9638
angles: 63.44 64.48 61.11
Space group P1 (No. 1)
Symmetry-distinct sites (fractional):
Li  0.0000  0.0000  0.0000
Li  0.0236  0.7503  0.7603
Li  0.1347  0.4847  0.4538
Li  0.3288  0.3471  0.0065
Li  0.4389  0.0872  0.7384
Li  0.6299  0.5948  0.0062
Li  0.8888  0.1880  0.3649
Bi  0.5303  0.8318  0.3926
O  0.1433  0.0763  0.6229
O  0.3038  0.9544  0.1178
O  0.3960  0.4742  0.6304
O  0.6215  0.2224  0.1703
O  0.7649  0.7670  0.6312
O  0.9212  0.6050  0.1459

=====

# 7
A crystal of Ta2OsSe relaxed with PBEsol, computed with meta-GGA SCAN.

calculated density: 16.245 Mg/m³
VASP energy: -56.236 eV per atom

abc: 4.6285 4.6285 3.0112
angles: 90.00 90.00 90.00
Space group P4/mmm (No. 123)
Symmetry-distinct sites (fractional):
Ta  0.0000  0.5000  0.0000
Os  0.0000  0.0000  0.5000
Se  0.5000  0.5000  0.5000

=====

# 8
A crystal of SrSnPS2 relaxed with PBEsol, computed with meta-GGA SCAN.

calculated density: 3.985 Mg/m³
VASP energy: -18.043 eV per atom

abc: 5.0493 5.0493 4.9264
angles: 90.00 90.00 90.00
Space group P4/mmm (No. 123)
Symmetry-distinct sites (fractional):
Sr  0.0000  0.0000  0.0000
Sn  0.5000  0.5000  0.5000
P  0.5000  0.5000  0.0000
S  0.0000  0.5000  0.5000

=====

# 9
A crystal of LiReNi2 relaxed with PBEsol, computed with meta-GGA SCAN.

calculated density: 11.042 Mg/m³
E_form: 0.07 eV/atom
VASP energy: -26.391 eV per atom

abc: 2.6436 2.6436 6.6819
angles: 90.00 90.00 90.00
Space group P4/mmm (No. 123)
Symmetry-distinct sites (fractional):
Li  0.0000  0.0000  0.0000
Re  0.0000  0.0000  0.5000
Ni  0.5000  0.5000  0.2439

=====

# 10
A crystal of Ga3WO relaxed with PBEsol, computed with meta-GGA SCAN.

calculated density: 5.831 Mg/m³
VASP energy: -23.983 eV per atom

abc: 4.8835 4.8835 4.8835
angles: 90.00 90.00 90.00
Space group Pm-3m (No. 221)
Symmetry-distinct sites (fractional):
Ga  0.0000  0.0000  0.5000
W  0.0000  0.0000  0.0000
O  0.5000  0.5000  0.5000

=====

# 11
A crystal of CuRu2Cl relaxed with PBEsol, computed with meta-GGA SCAN.

calculated density: 9.276 Mg/m³
VASP energy: -22.464 eV per atom

abc: 2.7575 4.3305 9.0286
angles: 90.00 90.00 90.00
Space group Imm2 (No. 44)
Symmetry-distinct sites (fractional):
Cu  0.0000  0.0000  0.0000
Ru  0.0000  0.0000  0.5101
Ru  0.0000  0.5000  0.7697
Cl  0.0000  0.5000  0.2357

=====

# 12
A crystal of TbBe13 relaxed with PBEsol, computed with meta-GGA SCAN.

calculated density: 3.514 Mg/m³
E_form: -0.18 eV/atom
VASP energy: -7.563 eV per atom

abc: 10.1438 10.1438 10.1438
angles: 90.00 90.00 90.00
Space group Fm-3c (No. 226)
Symmetry-distinct sites (fractional):
Tb  0.2500  0.2500  0.2500
Be  0.0000  0.0000  0.0000
Be  0.0000  0.1143  0.1766

=====

# 13
A crystal of BTeO2F relaxed with PBEsol, computed with meta-GGA SCAN.

calculated density: 6.492 Mg/m³
VASP energy: -12.435 eV per atom

abc: 3.4999 3.4999 3.9549
angles: 90.00 90.00 90.00
Space group P4/mmm (No. 123)
Symmetry-distinct sites (fractional):
B  0.0000  0.0000  0.0000
Te  0.5000  0.5000  0.5000
O  0.0000  0.5000  0.0000
F  0.0000  0.0000  0.5000

=====

# 14
A crystal of SiNiRh2 relaxed with PBEsol, computed with meta-GGA SCAN.

calculated density: 9.965 Mg/m³
VASP energy: -23.941 eV per atom

abc: 5.4102 6.5248 2.7624
angles: 90.00 90.00 90.00
Space group Cmmm (No. 65)
Symmetry-distinct sites (fractional):
Si  0.0000  0.0000  0.0000
Ni  0.0000  0.5000  0.0000
Rh  0.2500  0.2500  0.5000

=====

# 15
A crystal of CrSnF3 relaxed with PBEsol, computed with meta-GGA SCAN.

calculated density: 4.085 Mg/m³
VASP energy: -14.415 eV per atom

abc: 4.5237 4.5237 4.5237
angles: 90.00 90.00 90.00
Space group Pm-3m (No. 221)
Symmetry-distinct sites (fractional):
Cr  0.0000  0.0000  0.0000
Sn  0.5000  0.5000  0.5000
F  0.0000  0.5000  0.5000

=====

# 16
A crystal of Mo3RhS relaxed with PBEsol, computed with meta-GGA SCAN.

calculated density: 7.046 Mg/m³
VASP energy: -27.704 eV per atom

abc: 4.6360 4.6360 4.6360
angles: 90.00 90.00 90.00
Space group Pm-3m (No. 221)
Symmetry-distinct sites (fractional):
Mo  0.0000  0.0000  0.5000
Rh  0.0000  0.0000  0.0000
S  0.5000  0.5000  0.5000

=====

# 17
A crystal of AgPb2 relaxed with PBEsol, computed with meta-GGA SCAN.

calculated density: 11.482 Mg/m³
E_form: 0.12 eV/atom
VASP energy: -60.859 eV per atom

abc: 13.4204 13.4204 13.4204
angles: 90.00 90.00 90.00
Space group Fd-3m (No. 227, origin choice 2)
Symmetry-distinct sites (fractional):
Ag  0.0408  0.0408  0.2092
Pb  0.0000  0.0000  0.0000
Pb  0.0637  0.3750  0.8750

=====

# 18
A crystal of Tb9Ga5S21 relaxed with PBEsol, computed with meta-GGA SCAN.

calculated density: 5.707 Mg/m³
VASP energy: -21.916 eV per atom

abc: 16.5576 16.5576 18.0309
angles: 90.00 90.00 120.00
Space group R3 (No. 146, hexagonal axes)
Symmetry-distinct sites (fractional):
Tb  0.0164  0.8216  0.0000
Tb  0.0229  0.8215  0.3201
Tb  0.0271  0.8262  0.6590
Tb  0.1543  0.4661  0.4854
Tb  0.1570  0.4679  0.8289
Tb  0.1582  0.4680  0.1648
Ga  0.0000  0.0000  0.2156
Ga  0.0000  0.0000  0.4104
Ga  0.0000  0.0000  0.7138
Ga  0.0000  0.0000  0.9085
Ga  0.0033  0.3307  0.0190
Ga  0.0041  0.6679  0.5189
S  0.0007  0.3327  0.8951
S  0.0025  0.6682  0.3950
S  0.0080  0.4630  0.4026
S  0.0112  0.8879  0.7987
S  0.0118  0.8810  0.4639
S  0.0136  0.8807  0.1467
S  0.0173  0.4684  0.7405
S  0.0227  0.4640  0.0702
S  0.1235  0.0121  0.3009
S  0.1273  0.7863  0.9066
S  0.1288  0.0082  0.9626
S  0.1318  0.7764  0.2375
S  0.1343  0.0158  0.6450
S  0.1355  0.7850  0.5694

=====

# 19
A crystal of CrTcW2 relaxed with PBEsol, computed with meta-GGA SCAN.

calculated density: 14.860 Mg/m³
E_form: 0.39 eV/atom
VASP energy: -47.813 eV per atom

abc: 2.7397 2.7397 26.6972
angles: 90.00 90.00 120.00
Space group R3m (No. 160, hexagonal axes)
Symmetry-distinct sites (fractional):
Cr  0.0000  0.0000  0.0000
Tc  0.0000  0.0000  0.2603
W  0.0000  0.0000  0.5074
W  0.0000  0.0000  0.7493

=====

# 20
A crystal of Ho2TeO2 relaxed with PBEsol, computed with meta-GGA SCAN.

calculated density: 8.972 Mg/m³
VASP energy: -32.716 eV per atom

abc: 3.8377 3.8377 14.2041
angles: 90.00 90.00 120.00
Space group P6_3/mmc (No. 194)
Symmetry-distinct sites (fractional):
Ho  0.3333  0.6667  0.0975
Te  0.0000  0.0000  0.2500
O  0.3333  0.6667  0.5602